[1]
## LiPd6Pb2 (PBE)

Data for a geometry-optimized LiPd6Pb2 structure.

The structure in POSCAR format:
```
LiPd6Pb2
1.0
8.4705 0.0000 0.0000
0.0000 8.4705 0.0000
0.0000 0.0000 4.2154
Li Pd Pb
2 12 4
Direct
0.0000 0.0000 0.0000
0.5000 0.5000 0.5000
0.0169 0.3323 0.0000
0.1412 0.8588 0.5000
0.1677 0.5169 0.5000
0.3323 0.0169 0.0000
0.3588 0.3588 0.0000
0.4831 0.8323 0.5000
0.5169 0.1677 0.5000
0.6412 0.6412 0.0000
0.6677 0.9831 0.0000
0.8323 0.4831 0.5000
0.8588 0.1412 0.5000
0.9831 0.6677 0.0000
0.1871 0.1871 0.5000
0.3129 0.6871 0.0000
0.6871 0.3129 0.0000
0.8129 0.8129 0.5000
```

Results
* DFT formation energy: -0.3286 eV per atom
* crystal system: tetragonal
* M_tot: 0.00 μB per cell
* space-group type: P4_2/mnm (136)

[2]
## LiPd14Pb (PBE)

Data for a geometry-optimized LiPd14Pb structure.

The structure in POSCAR format:
```
LiPd14Pb
1.0
5.6396 0.0000 0.0000
0.0000 5.6396 0.0000
0.0000 0.0000 7.9091
Li Pd Pb
1 14 1
Direct
0.0000 0.0000 0.0000
0.0000 0.0000 0.5000
0.0000 0.5000 0.0000
0.0000 0.5000 0.5000
0.2465 0.2465 0.2516
0.2465 0.2465 0.7484
0.2465 0.7535 0.2516
0.2465 0.7535 0.7484
0.5000 0.0000 0.0000
0.5000 0.0000 0.5000
0.5000 0.5000 0.5000
0.7535 0.2465 0.2516
0.7535 0.2465 0.7484
0.7535 0.7535 0.2516
0.7535 0.7535 0.7484
0.5000 0.5000 0.0000
```

Results
* DFT formation energy: -0.1129 eV per atom
* crystal system: tetragonal
* M_tot: 0.00 μB per cell
* space-group type: P4/mmm (123)

[3]
## Li4PdPb5 (PBE)

Data for a geometry-optimized Li4PdPb5 structure.

The structure in POSCAR format:
```
Li4PdPb5
1.0
3.5187 0.0000 0.0000
0.0000 3.5187 0.0000
0.0000 0.0000 18.0130
Li Pd Pb
4 1 5
Direct
0.0000 0.0000 0.0997
0.0000 0.0000 0.3005
0.0000 0.0000 0.6995
0.0000 0.0000 0.9003
0.0000 0.0000 0.5000
0.5000 0.5000 0.0000
0.5000 0.5000 0.2014
0.5000 0.5000 0.4073
0.5000 0.5000 0.5927
0.5000 0.5000 0.7986
```

Results
* DFT formation energy: -0.2582 eV per atom
* crystal system: tetragonal
* M_tot: 0.00 μB per cell
* space-group type: P4/mmm (123)